(1)
An optimized crystal structure of CaZnFe2, computed with GGA-PBEsol.

- M_tot (μB/atom) = 1.047
- space-group type = Pmmm (47)
- formation energy from the elements (meV/atom) = 389

Lattice parameters (Å, degrees): 2.868 3.544 6.279 90.00 90.00 90.00
Sites, in units of the cell vectors:
1 Zn 0.500 0.500 0.000
2 Fe 0.000 0.000 0.176
3 Fe 0.000 0.000 0.824
4 Ca 0.500 0.500 0.500

(2)
An optimized crystal structure of CaZn3Fe, computed with GGA-PBEsol.

- M_tot (μB/atom) = 0.110
- space-group type = Pm-3m (221)
- formation energy from the elements (meV/atom) = 103

Lattice parameters (Å, degrees): 4.548 4.548 4.548 90.00 90.00 90.00
Sites, in units of the cell vectors:
1 Zn 0.500 0.000 0.000
2 Zn 0.000 0.000 0.500
3 Zn 0.000 0.500 0.000
4 Ca 0.500 0.500 0.500
5 Fe 0.000 0.000 0.000

(3)
An optimized crystal structure of CaZnFe2, computed with GGA-PBEsol.

- M_tot (μB/atom) = 1.129
- space-group type = I4/mmm (139)
- formation energy from the elements (meV/atom) = 506

Lattice parameters (Å, degrees): 3.913 3.913 4.872 113.68 113.68 90.00
Sites, in units of the cell vectors:
1 Zn 0.500 0.500 0.000
2 Fe 0.250 0.750 0.500
3 Fe 0.750 0.250 0.500
4 Ca 0.000 0.000 0.000

(4)
An optimized crystal structure of Ca2ZrFe, computed with GGA-PBEsol.

- M_tot (μB/atom) = 0.412
- space-group type = Cmmm (65)
- formation energy from the elements (meV/atom) = 727
- energy relative to the lowest polymorph listed for this composition (meV per atom) = 0

Lattice parameters (Å, degrees): 3.147 5.809 5.809 117.01 90.00 90.00
Sites, in units of the cell vectors:
1 Ca 0.000 0.500 0.000
2 Ca 0.000 0.000 0.500
3 Fe 0.500 0.000 0.000
4 Zr 0.500 0.500 0.500

(5)
An optimized crystal structure of Ca2ZrFe, computed with GGA-PBEsol.

- M_tot (μB/atom) = 0.313
- space-group type = Fm-3m (225)
- formation energy from the elements (meV/atom) = 873
- energy relative to the lowest polymorph listed for this composition (meV per atom) = 147

Lattice parameters (Å, degrees): 5.157 5.157 5.157 60.00 60.00 60.00
Sites, in units of the cell vectors:
1 Ca 0.250 0.250 0.250
2 Ca 0.750 0.750 0.750
3 Zr 0.500 0.500 0.500
4 Fe 0.000 0.000 0.000

(6)
An optimized crystal structure of CaZr2Fe, computed with GGA-PBEsol.

- M_tot (μB/atom) = 0.000
- space-group type = Immm (71)
- formation energy from the elements (meV/atom) = 161

Lattice parameters (Å, degrees): 3.256 5.282 5.758 117.24 106.42 90.00
Sites, in units of the cell vectors:
1 Zr 0.693 0.693 0.386
2 Zr 0.307 0.307 0.614
3 Fe 0.000 0.500 0.000
4 Ca 0.500 0.000 0.000

(7)
An optimized crystal structure of Ca11Ga7, computed with GGA-PBEsol.

- M_tot (μB/atom) = 0.000
- space-group type = Fm-3m (225)
- formation energy from the elements (meV/atom) = -403

Lattice parameters (Å, degrees): 11.210 11.210 11.210 60.00 60.00 60.00
Sites, in units of the cell vectors:
1 Ca 0.130 0.130 0.130
2 Ca 0.500 0.500 0.836
3 Ca 0.389 0.870 0.870
4 Ca 0.500 0.164 0.500
5 Ca 0.130 0.130 0.611
6 Ca 0.500 0.836 0.500
7 Ca 0.870 0.389 0.870
8 Ca 0.500 0.500 0.164
9 Ca 0.500 0.836 0.164
10 Ca 0.500 0.500 0.500
11 Ca 0.164 0.500 0.500
12 Ca 0.130 0.611 0.130
13 Ca 0.500 0.164 0.836
14 Ca 0.000 0.000 0.000
15 Ca 0.611 0.130 0.130
16 Ca 0.836 0.500 0.500
17 Ca 0.870 0.870 0.870
18 Ca 0.164 0.500 0.836
19 Ca 0.836 0.164 0.500
20 Ca 0.836 0.500 0.164
21 Ca 0.164 0.836 0.500
22 Ca 0.870 0.870 0.389
23 Ga 0.691 0.928 0.691
24 Ga 0.220 0.780 0.220
25 Ga 0.691 0.691 0.928
26 Ga 0.691 0.691 0.691
27 Ga 0.780 0.780 0.220
28 Ga 0.928 0.691 0.691
29 Ga 0.780 0.220 0.780
30 Ga 0.309 0.309 0.072
31 Ga 0.220 0.220 0.780
32 Ga 0.780 0.220 0.220
33 Ga 0.072 0.309 0.309
34 Ga 0.309 0.309 0.309
35 Ga 0.309 0.072 0.309
36 Ga 0.220 0.780 0.780

(8)
An optimized crystal structure of CaGa2, computed with GGA-PBEsol.

- M_tot (μB/atom) = 0.000
- space-group type = P6_3/mmc (194)
- formation energy from the elements (meV/atom) = -561

Lattice parameters (Å, degrees): 4.427 4.427 7.195 90.00 90.00 120.00
Sites, in units of the cell vectors:
1 Ga 0.667 0.333 0.957
2 Ga 0.667 0.333 0.543
3 Ga 0.333 0.667 0.457
4 Ga 0.333 0.667 0.043
5 Ca 0.000 0.000 0.750
6 Ca 0.000 0.000 0.250

(9)
An optimized crystal structure of Ca3Ga5, computed with GGA-PBEsol.

- M_tot (μB/atom) = 0.000
- space-group type = Cmcm (63)
- formation energy from the elements (meV/atom) = -551

Lattice parameters (Å, degrees): 4.406 5.738 14.792 90.00 90.00 112.58
Sites, in units of the cell vectors:
1 Ca 0.589 0.177 0.390
2 Ca 0.411 0.823 0.890
3 Ca 0.870 0.740 0.250
4 Ca 0.411 0.823 0.610
5 Ca 0.130 0.260 0.750
6 Ca 0.589 0.177 0.110
7 Ga 0.292 0.584 0.100
8 Ga 0.708 0.416 0.900
9 Ga 0.708 0.416 0.600
10 Ga 0.884 0.768 0.034
11 Ga 0.116 0.232 0.534
12 Ga 0.884 0.768 0.466
13 Ga 0.292 0.584 0.400
14 Ga 0.837 0.674 0.750
15 Ga 0.116 0.232 0.966
16 Ga 0.163 0.326 0.250

(10)
An optimized crystal structure of CaGa2, computed with GGA-PBEsol.

- M_tot (μB/atom) = 0.000
- space-group type = P6/mmm (191)
- formation energy from the elements (meV/atom) = -519

Lattice parameters (Å, degrees): 3.925 4.330 4.330 120.00 90.00 90.00
Sites, in units of the cell vectors:
1 Ca 0.500 0.000 0.000
2 Ga 0.000 0.333 0.667
3 Ga 0.000 0.667 0.333

(11)
An optimized crystal structure of CaGa4, computed with GGA-PBEsol.

- M_tot (μB/atom) = 0.000
- space-group type = I4/mmm (139)
- formation energy from the elements (meV/atom) = -403

Lattice parameters (Å, degrees): 4.296 4.296 6.100 110.61 110.61 90.00
Sites, in units of the cell vectors:
1 Ga 0.615 0.615 0.230
2 Ga 0.750 0.250 0.500
3 Ga 0.250 0.750 0.500
4 Ga 0.385 0.385 0.770
5 Ca 0.000 0.000 0.000

(12)
An optimized crystal structure of Ca5Ga3, computed with GGA-PBEsol.

- M_tot (μB/atom) = 0.000
- space-group type = I4/mcm (140)
- formation energy from the elements (meV/atom) = -389

Lattice parameters (Å, degrees): 7.828 7.828 9.193 115.20 115.20 90.00
Sites, in units of the cell vectors:
1 Ca 0.467 0.967 0.289
2 Ca 0.033 0.178 0.711
3 Ca 0.000 0.000 0.000
4 Ca 0.322 0.467 0.289
5 Ca 0.500 0.500 0.000
6 Ca 0.822 0.322 0.289
7 Ca 0.533 0.033 0.711
8 Ca 0.178 0.678 0.711
9 Ca 0.678 0.533 0.711
10 Ca 0.967 0.822 0.289
11 Ga 0.750 0.750 0.500
12 Ga 0.889 0.389 0.000
13 Ga 0.611 0.889 0.000
14 Ga 0.250 0.250 0.500
15 Ga 0.389 0.111 0.000
16 Ga 0.111 0.611 0.000